(1)
Entry from the Alexandria database: a relaxed structure of PuHfTe (PBE-GGA).

The structure in CIF format:
```
data_PuHfTe
_space_group_name_H-M_alt 'P -6 m 2'
_space_group_IT_number 187
_space_group_name_Hall 'P -6 2'
_cell_length_a 4.9432
_cell_length_b 4.9432
_cell_length_c 3.6149
_cell_angle_alpha 90.00
_cell_angle_beta 90.00
_cell_angle_gamma 120.00
loop_
_atom_site_label
_atom_site_type_symbol
_atom_site_fract_x
_atom_site_fract_y
_atom_site_fract_z
Pu1 Pu 0.0000 0.0000 0.0000
Hf1 Hf 0.6667 0.3333 0.5000
Te1 Te 0.3333 0.6667 0.5000
```

Computed properties:
DOS(E_F) = 8.4 states/eV/f.u.
Total magnetic moment = 5.46 Bohr magnetons per cell


(2)
Entry from the Alexandria database: a relaxed structure of PuHfTe (PBE-GGA).

The structure in CIF format:
```
data_PuHfTe
_space_group_name_H-M_alt 'P m m n'
_space_group_IT_number 59
_cell_length_a 3.056
_cell_length_b 4.033
_cell_length_c 12.697
_cell_angle_alpha 90.00
_cell_angle_beta 90.00
_cell_angle_gamma 90.00
loop_
_space_group_symop_operation_xyz
'x,y,z'
'-x,-y,-z'
'-x+1/2,-y+1/2,z'
'x+1/2,y+1/2,-z'
'x+1/2,-y,-z'
'-x+1/2,y,z'
'-x,y+1/2,-z'
'x,-y+1/2,z'
loop_
_atom_site_label
_atom_site_type_symbol
_atom_site_fract_x
_atom_site_fract_y
_atom_site_fract_z
Pu1 Pu 0.250 0.250 0.009
Hf1 Hf 0.250 0.750 0.203
Te1 Te 0.250 0.250 0.362
```

Computed properties:
DOS(E_F) = 3.4 states/eV/f.u.
Total magnetic moment = 0.00 Bohr magnetons per cell


The most stable of them is (1).


(1)
Entry from the Alexandria database: a relaxed structure of Pu2HfTi (PBE-GGA).

The structure in CIF format:
```
data_Pu2HfTi
_space_group_name_H-M_alt 'F m -3 m'
_space_group_IT_number 225
_space_group_name_Hall '-F 4 2 3'
_cell_length_a 7.079
_cell_length_b 7.079
_cell_length_c 7.079
_cell_angle_alpha 90.00
_cell_angle_beta 90.00
_cell_angle_gamma 90.00
loop_
_atom_site_label
_atom_site_type_symbol
_atom_site_fract_x
_atom_site_fract_y
_atom_site_fract_z
Pu1 Pu 0.250 0.250 0.250
Hf1 Hf 0.000 0.000 0.000
Ti1 Ti 0.000 0.000 0.500
```

Computed properties:
DOS(E_F) = 9.8 states/eV/f.u.
Total magnetic moment = 44.95 Bohr magnetons per cell


(2)
Entry from the Alexandria database: a relaxed structure of Pu2HfTi (PBE-GGA).

The structure in CIF format:
```
data_Pu2HfTi
_space_group_name_H-M_alt 'P 4/m m m'
_space_group_IT_number 123
_space_group_name_Hall '-P 4 2'
_cell_length_a 3.645
_cell_length_b 3.645
_cell_length_c 6.646
_cell_angle_alpha 90.00
_cell_angle_beta 90.00
_cell_angle_gamma 90.00
loop_
_atom_site_label
_atom_site_type_symbol
_atom_site_fract_x
_atom_site_fract_y
_atom_site_fract_z
Pu1 Pu 0.000 0.000 0.235
Hf1 Hf 0.500 0.500 0.500
Ti1 Ti 0.500 0.500 0.000
```

Computed properties:
DOS(E_F) = 10.4 states/eV/f.u.
Total magnetic moment = 11.13 Bohr magnetons per cell


The most stable of them is (2).